Entry 1:
DFT (PBE) results for crystalline AgH2Cl3 at its relaxed geometry.

Calculated values
* total magnetic moment: 0.0 μB per cell
* Fermi-level density of states: 0.0 states/eV per cell
* E_tot: -2.9615 eV/atom
* space group: C2/c, No. 15

```
AgH2Cl3
1.0
8.279 0.000 0.000
-4.140 9.105 -5.779
0.000 -4.315 6.810
Ag H Cl
2 4 6
Direct
0.869 0.000 0.250
0.131 0.000 0.750
0.227 0.593 0.305
0.365 0.593 0.805
0.635 0.407 0.195
0.773 0.407 0.695
0.427 0.000 0.750
0.573 0.000 0.250
0.952 0.693 0.016
0.259 0.307 0.484
0.741 0.693 0.516
0.048 0.307 0.984
```



Entry 2:
DFT (PBE) results for crystalline AgH2Cl2 at its relaxed geometry.

Calculated values
* total magnetic moment: 0.0 μB per cell
* Fermi-level density of states: 2.5 states/eV per cell
* E_tot: -2.5204 eV/atom
* polymorph energy (0 for the lowest one): 1.63 eV/f.u.
* space group: P4/mbm, No. 127

```
AgH2Cl2
1.0
7.901 0.000 0.000
0.000 7.901 0.000
0.000 0.000 3.262
H Ag Cl
4 2 4
Direct
0.242 0.742 0.500
0.742 0.758 0.500
0.758 0.258 0.500
0.258 0.242 0.500
0.000 0.000 0.000
0.500 0.500 0.000
0.243 0.743 0.000
0.743 0.757 0.000
0.757 0.257 0.000
0.257 0.243 0.000
```



Entry 3:
DFT (PBE) results for crystalline AgHICl at its relaxed geometry.

Calculated values
* total magnetic moment: 0.0 μB per cell
* E_tot: -2.6829 eV/atom
* space group: Pm, No. 6

```
AgHICl
1.0
4.153 0.000 0.000
0.000 4.085 -0.898
0.000 -3.528 7.905
Ag H I Cl
1 1 1 1
Direct
0.000 0.706 0.326
0.000 0.500 0.872
0.500 0.138 0.274
0.000 0.116 0.763
```



Entry 4:
DFT (PBE) results for crystalline KAg2HCl6 at its relaxed geometry.

Calculated values
* total magnetic moment: 0.0 μB per cell
* Fermi-level density of states: 0.9 states/eV per cell
* E_tot: -2.8050 eV/atom
* space group: C2/c, No. 15

```
KAg2HCl6
1.0
8.621 0.739 0.767
3.583 8.568 0.493
3.583 0.175 8.581
K Ag H Cl
2 4 2 12
Direct
0.250 0.817 0.183
0.750 0.183 0.817
0.327 0.692 0.671
0.173 0.329 0.308
0.673 0.308 0.329
0.827 0.671 0.692
0.250 0.344 0.656
0.750 0.656 0.344
0.102 0.894 0.899
0.398 0.101 0.106
0.898 0.106 0.101
0.602 0.899 0.894
0.570 0.655 0.348
0.930 0.652 0.345
0.430 0.345 0.652
0.070 0.348 0.655
0.060 0.793 0.588
0.440 0.412 0.207
0.940 0.207 0.412
0.560 0.588 0.793
```



Entry 5:
DFT (PBE) results for crystalline LiAg2HCl4 at its relaxed geometry.

Calculated values
* total magnetic moment: 0.0 μB per cell
* E_tot: -2.7634 eV/atom
* space group: P2/m, No. 10

```
LiAg2HCl4
1.0
3.373 0.000 0.000
0.000 6.791 0.070
0.000 2.584 6.637
Li Ag H Cl
1 2 1 4
Direct
0.000 0.500 0.500
0.000 0.000 0.000
0.500 0.000 0.500
0.500 0.500 0.000
0.000 0.700 0.816
0.000 0.300 0.184
0.500 0.752 0.307
0.500 0.248 0.693
```



Entry 6:
DFT (PBE) results for crystalline LiAg2HCl at its relaxed geometry.

Calculated values
* total magnetic moment: 0.0 μB per cell
* Fermi-level density of states: 1.4 states/eV per cell
* E_tot: -2.9098 eV/atom
* space group: P4/mmm, No. 123

```
LiAg2HCl
1.0
-0.400 1.516 3.498
-3.508 -5.061 1.792
3.184 -1.802 1.144
H Li Ag Cl
1 1 2 1
Direct
0.000 0.000 0.000
0.500 0.500 0.500
0.000 0.000 0.500
0.500 0.000 0.000
0.000 0.500 0.000
```